# 1
Here is a relaxed structure of LiScRhF6 from Alexandria via LeMat-Bulk. Energies are from PBE-GGA.

abc: 5.316 5.316 9.283
angles: 90.00 90.00 120.00
Sites, in units of the cell vectors:
Li1 0.000 0.000 0.000
Li2 0.000 0.000 0.500
Sc1 0.333 0.667 0.250
Sc2 0.667 0.333 0.750
Rh1 0.333 0.667 0.750
Rh2 0.667 0.333 0.250
F1 0.017 0.340 0.127
F2 0.017 0.677 0.373
F3 0.323 0.340 0.373
F4 0.323 0.983 0.127
F5 0.340 0.017 0.627
F6 0.340 0.323 0.873
F7 0.660 0.677 0.127
F8 0.660 0.983 0.373
F9 0.677 0.017 0.873
F10 0.677 0.660 0.627
F11 0.983 0.323 0.627
F12 0.983 0.660 0.873

Computed properties:
- spin magnetization (μB per formula unit) = 1.000
- formation energy without anion corrections (eV/atom) = -2.678

---

# 2
Here is a relaxed structure of RbMg2InNi from Alexandria via LeMat-Bulk. Energies are from PBE-GGA.

abc: 5.150 5.150 5.043
angles: 90.00 90.00 90.00
Sites, in units of the cell vectors:
Rb1 0.000 0.000 0.000
Mg1 0.000 0.500 0.500
Mg2 0.500 0.000 0.500
In1 0.500 0.500 0.000
Ni1 0.500 0.500 0.500

Computed properties:
- spin magnetization (μB per formula unit) = 0.000
- calculated formation energy (eV/atom) = 0.00

---

# 3
Here is a relaxed structure of Ag3ClF3 from Alexandria via LeMat-Bulk. Energies are from PBE-GGA.

abc: 3.731 6.584 11.088
angles: 80.30 84.16 81.05
Sites, in units of the cell vectors:
Ag1 0.085 0.246 0.267
Ag2 0.218 0.132 0.881
Ag3 0.398 0.322 0.590
Ag4 0.602 0.678 0.410
Ag5 0.782 0.868 0.119
Ag6 0.915 0.754 0.733
Cl1 0.395 0.571 0.216
Cl2 0.605 0.429 0.784
F1 0.022 0.696 0.543
F2 0.180 0.144 0.084
F3 0.280 0.999 0.699
F4 0.720 0.001 0.301
F5 0.820 0.856 0.916
F6 0.978 0.304 0.457

Computed properties:
- spin magnetization (μB per formula unit) = 0.000
- formation energy without anion corrections (eV/atom) = -0.897
- polymorph energy (0 for the lowest one) (eV per atom) = 0.000

---

# 4
Here is a relaxed structure of Pm2CoP from Alexandria via LeMat-Bulk. Energies are from PBE-GGA.

abc: 7.182 7.182 7.182
angles: 32.65 32.65 32.65
Sites, in units of the cell vectors:
Pm1 0.250 0.250 0.250
Pm2 0.750 0.750 0.750
Co1 0.000 0.000 0.000
P1 0.500 0.500 0.500

Computed properties:
- spin magnetization (μB per formula unit) = 0.124
- calculated formation energy (eV/atom) = -0.54
- polymorph energy (0 for the lowest one) (eV per atom) = 0.000

---

# 5
Here is a relaxed structure of CaB2Os from Alexandria via LeMat-Bulk. Energies are from PBE-GGA.

abc: 4.325 3.188 7.533
angles: 90.00 99.74 90.00
Sites, in units of the cell vectors:
Ca1 0.053 0.250 0.186
Ca2 0.947 0.750 0.814
B1 0.122 0.750 0.479
B2 0.481 0.250 0.940
B3 0.519 0.750 0.060
B4 0.878 0.250 0.521
Os1 0.392 0.250 0.620
Os2 0.608 0.750 0.380

Computed properties:
- spin magnetization (μB per formula unit) = 0.000
- calculated formation energy (eV/atom) = -0.13
- polymorph energy (0 for the lowest one) (eV per atom) = 0.000

---

# 6
Here is a relaxed structure of ThNpGe2 from Alexandria via LeMat-Bulk. Energies are from PBE-GGA.

abc: 7.389 7.389 7.389
angles: 32.91 32.91 32.91
Sites, in units of the cell vectors:
Th1 0.000 0.000 0.000
Np1 0.500 0.500 0.500
Ge1 0.245 0.245 0.245
Ge2 0.755 0.755 0.755

Computed properties:
- spin magnetization (μB per formula unit) = 3.403
- calculated formation energy (eV/atom) = -0.31
- polymorph energy (0 for the lowest one) (eV per atom) = 0.011

---

> spin magnetization of number 2 (RbMg2InNi)?

0.000 μB per formula unit

---

> What is the spin magnetization in the third record?

0.000 μB per formula unit

---

> Which formula does entry 2 have?

RbMg2InNi

---

> Which value of spin magnetization does entry 3 give?

0.000 μB per formula unit